No. 1
An optimized crystal structure of La3NiCl3, computed with PBE-GGA.

Results
- ΔE_f (raw): -10.477 eV/f.u.
- M_tot: 0.00 μB/atom
- Symmetry: I4_132, No. 214

abc: 10.2774 10.2774 10.2774
angles: 109.47 109.47 109.47
With the nearest neighbours (Å) after each atom.
Element x y z (fractional)
1 La 0.7388 0.4776 0.4888  2 Ni 2.84, 4 Cl 3.01-3.10
2 La 0.9776 0.4888 0.2388  2 Ni 2.84, 4 Cl 3.01-3.10
3 La 0.2500 0.2388 0.2612  2 Ni 2.84, 4 Cl 3.01-3.10
4 Cl 0.4947 0.7473 0.9973  4 La 3.01-3.10
5 Cl 0.2473 0.9973 0.9947  4 La 3.01-3.10
6 La 0.9888 0.7500 0.0112  2 Ni 2.84, 4 Cl 3.01-3.10
7 La 0.5112 0.4888 0.7500  2 Ni 2.84, 4 Cl 3.01-3.10
8 Cl 0.2473 0.2500 0.7527  4 La 3.01-3.10
9 La 0.5112 0.0224 0.2612  2 Ni 2.84, 4 Cl 3.01-3.10
10 La 0.7612 0.7500 0.2388  2 Ni 2.84, 4 Cl 3.01-3.10
11 Cl 0.7500 0.9973 0.5027  4 La 3.01-3.10
12 Cl 0.0053 0.5027 0.7527  4 La 3.01-3.10
13 Cl 0.0027 0.2500 0.9973  4 La 3.01-3.10
14 Ni 0.7500 0.2500 0.2500  6 La 2.84
15 Ni 0.7500 0.5000 0.0000  6 La 2.84
16 La 0.7612 0.0112 0.0224  2 Ni 2.84, 4 Cl 3.01-3.10
17 Cl 0.4973 0.5027 0.2500  4 La 3.01-3.10
18 La 0.7388 0.2612 0.7500  2 Ni 2.84, 4 Cl 3.01-3.10
19 Cl 0.0027 0.7527 0.5053  4 La 3.01-3.10
20 La 0.2500 0.0112 0.4888  2 Ni 2.84, 4 Cl 3.01-3.10
21 La 0.9888 0.2388 0.4776  2 Ni 2.84, 4 Cl 3.01-3.10
22 Ni 0.0000 0.0000 0.2500  6 La 2.84
23 Cl 0.7500 0.7527 0.7473  4 La 3.01-3.10
24 La 0.5224 0.2612 0.0112  2 Ni 2.84, 4 Cl 3.01-3.10
25 Cl 0.2527 0.5053 0.5027  4 La 3.01-3.10
26 Cl 0.2527 0.7473 0.2500  4 La 3.01-3.10
27 Ni 0.5000 0.2500 0.5000  6 La 2.84
28 Cl 0.4973 0.9947 0.7473  4 La 3.01-3.10

---

No. 2
An optimized crystal structure of K2ScAgAu, computed with PBE-GGA.

Results
- Energy: -0.0849 Ha/atom
- M_tot: 0.29 μB/atom
- Symmetry: P4/mmm, No. 123

abc: 6.8439 5.0868 6.8439
angles: 90.00 90.00 90.00
With the nearest neighbours (Å) after each atom.
Element x y z (fractional)
1 K 0.0000 0.0000 0.5000  2 Sc 3.42
2 Sc 0.0000 0.0000 0.0000  2 Au 2.54
3 K 0.5000 0.0000 0.0000  2 Sc 3.42
4 Ag 0.5000 0.5000 0.5000  8 K 4.26
5 Au 0.0000 0.5000 0.0000  2 Sc 2.54